[1]
A relaxed La3AsN2 crystal. Source: Alexandria, functional GGA-PBE.

Values from the calculation:
excess energy over the best structure of this formula in the dataset	1.25	kcal/mol of atoms

The structure in extended XYZ format:
```
12
Lattice="5.843 0.000 0.000 0.000 7.407 0.217 0.000 -1.669 7.219" Properties=species:S:1:pos:R:3 pbc="T T T"
La 4.382 -0.758 6.516
La 4.382 0.645 2.860
La 1.461 2.603 1.350
La 4.382 3.135 6.087
La 1.461 5.092 4.577
La 1.461 6.495 0.920
As 1.461 1.106 5.079
As 4.382 4.632 2.358
N 0.000 0.932 1.208
N 2.922 0.932 1.208
N 0.000 4.805 6.229
N 2.922 4.805 6.229
```



[2]
A relaxed Pr5Y5Er crystal. Source: Alexandria, functional GGA-PBE.

Values from the calculation:
energy of formation from the pure elements	0.257	eV per atom

The structure in extended XYZ format:
```
11
Lattice="-2.726 1.962 -5.130 -7.016 -1.663 6.757 2.550 6.431 1.105" Properties=species:S:1:pos:R:3 pbc="T T T"
Pr -3.775 1.972 -0.904
Pr -1.831 4.963 -0.793
Pr 1.275 3.216 0.553
Pr -5.362 1.768 3.526
Pr -3.418 4.758 3.636
Y -6.637 1.054 0.266
Y -5.279 4.313 0.791
Y -1.363 0.981 -2.565
Y -1.913 2.418 1.942
Y -0.555 5.676 2.467
Er 0.000 0.000 0.000
```